1.
## CdMoN2 (PBE)

Data for an optimized crystal structure of CdMoN2.

Lattice parameters (Å, degrees): 6.8166 6.8166 6.8166 27.25 27.25 27.25
Positions (direct):
N  0.9047  0.9047  0.9047
N  0.0953  0.0953  0.0953
Cd  0.5000  0.5000  0.5000
Mo  0.0000  0.0000  0.0000

Computed properties:
Its density of states at the Fermi level is 3.7 states/eV per cell. The value obtained for the uncorrected formation energy is 0.969 eV/atom.



2.
## ZnBi2Pd2 (PBE)

Data for an optimized crystal structure of ZnBi2Pd2.

Lattice parameters (Å, degrees): 3.9229 3.9229 8.0920 75.97 75.97 90.00
Positions (direct):
Pd  0.2500  0.7500  0.5000
Pd  0.7500  0.2500  0.5000
Zn  0.0000  0.0000  0.0000
Bi  0.6161  0.6161  0.7679
Bi  0.3839  0.3839  0.2321

Computed properties:
Its density of states at the Fermi level is 2.8 states/eV per cell. The energy relative to the elements is -0.002 eV per atom. Its distance to the lowest polymorph of the same formula is 195 meV/atom.



3.
## Zr4TiH10 (PBE)

Data for an optimized crystal structure of Zr4TiH10.

Lattice parameters (Å, degrees): 4.3887 5.8964 5.8964 82.04 68.15 68.15
Positions (direct):
H  0.6642  0.2861  0.9027
H  0.5669  0.0973  0.2861
H  0.1470  0.2861  0.9027
H  0.9503  0.9027  0.7139
Zr  0.2022  0.3997  0.1959
H  0.2500  0.5000  0.5000
H  0.8530  0.7139  0.0973
Ti  0.0000  0.0000  0.0000
H  0.0497  0.0973  0.2861
H  0.3358  0.7139  0.0973
H  0.7500  0.5000  0.5000
Zr  0.6019  0.1959  0.6003
H  0.4331  0.9027  0.7139
Zr  0.7978  0.6003  0.8041
Zr  0.3981  0.8041  0.3997

Computed properties:
Its density of states at the Fermi level is 3.5 states/eV per cell. As for the uncorrected energy: -5.59 eV/atom.



4.
## Mg2ZrRh4 (PBE)

Data for an optimized crystal structure of Mg2ZrRh4.

Lattice parameters (Å, degrees): 4.3528 4.3528 6.9838 108.16 108.16 90.00
Positions (direct):
Mg  0.7433  0.7433  0.4867
Zr  0.0000  0.0000  0.0000
Rh  0.3778  0.8778  0.7555
Rh  0.8778  0.3778  0.7555
Mg  0.2567  0.2567  0.5133
Rh  0.6222  0.1222  0.2445
Rh  0.1222  0.6222  0.2445

Computed properties:
Its density of states at the Fermi level is 5.3 states/eV per cell. The energy relative to the elements is -0.340 eV per atom.



5.
## ScAl3Ni2 (PBE)

Data for an optimized crystal structure of ScAl3Ni2.

Lattice parameters (Å, degrees): 4.0740 4.0740 12.5284 90.00 90.00 120.00
Positions (direct):
Sc  0.0000  0.0000  0.2500
Ni  0.6667  0.3333  0.4278
Al  0.3333  0.6667  0.3759
Al  0.0000  0.0000  0.0000
Ni  0.3333  0.6667  0.9278
Al  0.3333  0.6667  0.1241
Ni  0.6667  0.3333  0.0722
Ni  0.3333  0.6667  0.5722
Al  0.0000  0.0000  0.5000
Al  0.6667  0.3333  0.6241
Al  0.6667  0.3333  0.8759
Sc  0.0000  0.0000  0.7500

Computed properties:
Its density of states at the Fermi level is 4.9 states/eV per cell. The energy relative to the elements is -0.561 eV per atom. Its distance to the lowest polymorph of the same formula is 0 meV/atom.



6.
## Y2AsH2 (PBE)

Data for an optimized crystal structure of Y2AsH2.

Lattice parameters (Å, degrees): 7.0424 7.0424 3.1153 90.00 90.00 90.00
Positions (direct):
As  0.5000  0.5000  0.0000
Y  0.1696  0.6696  0.5000
H  0.6054  0.1054  0.0000
Y  0.3304  0.1696  0.5000
H  0.8946  0.6054  0.0000
H  0.3946  0.8946  0.0000
H  0.1054  0.3946  0.0000
Y  0.6696  0.8304  0.5000
Y  0.8304  0.3304  0.5000
As  0.0000  0.0000  0.0000

Computed properties:
Its density of states at the Fermi level is 3.1 states/eV per cell. Its distance to the lowest polymorph of the same formula is 385 meV/atom.



7.
## Tb12Dy7Mg (PBE)

Data for an optimized crystal structure of Tb12Dy7Mg.

Lattice parameters (Å, degrees): 10.3707 10.3707 10.3707 109.47 109.47 109.47
Positions (direct):
Tb  0.7393  0.0951  0.3559
Tb  0.6441  0.7393  0.3834
Tb  0.7393  0.3834  0.6441
Tb  0.3559  0.2607  0.6166
Tb  0.0951  0.3559  0.7393
Dy  0.0000  0.5000  0.5000
Dy  0.5000  0.0000  0.5000
Dy  0.0000  0.5000  0.0000
Mg  0.0000  0.0000  0.0000
Dy  0.0000  0.0000  0.5000
Dy  0.5000  0.0000  0.0000
Tb  0.3559  0.7393  0.0951
Tb  0.9049  0.6441  0.2607
Tb  0.6441  0.2607  0.9049
Dy  0.5000  0.5000  0.0000
Tb  0.6166  0.3559  0.2607
Tb  0.3834  0.6441  0.7393
Tb  0.2607  0.6166  0.3559
Dy  0.5000  0.5000  0.5000
Tb  0.2607  0.9049  0.6441

Computed properties:
Its density of states at the Fermi level is 34.9 states/eV per cell. The energy relative to the elements is 0.831 eV per atom. Its distance to the lowest polymorph of the same formula is 619 meV/atom.



8.
## RbZrTl3 (PBE)

Data for an optimized crystal structure of RbZrTl3.

Lattice parameters (Å, degrees): 5.7948 5.7948 5.7948 90.00 90.00 90.00
Positions (direct):
Tl  0.5000  0.0000  0.0000
Tl  0.0000  0.5000  0.0000
Zr  0.0000  0.0000  0.0000
Tl  0.0000  0.0000  0.5000
Rb  0.5000  0.5000  0.5000

Computed properties:
Its density of states at the Fermi level is 6.2 states/eV per cell. The energy relative to the elements is 0.187 eV per atom. Its distance to the lowest polymorph of the same formula is 0 meV/atom.



9.
## AcDyCu2 (PBE)

Data for an optimized crystal structure of AcDyCu2.

Lattice parameters (Å, degrees): 3.6247 3.6247 7.2641 90.00 90.00 90.00
Positions (direct):
Dy  0.5000  0.5000  0.0000
Ac  0.5000  0.5000  0.5000
Cu  0.0000  0.0000  0.7914
Cu  0.0000  0.0000  0.2086

Computed properties:
Its density of states at the Fermi level is 2.2 states/eV per cell. The energy relative to the elements is -0.157 eV per atom. Its distance to the lowest polymorph of the same formula is 0 meV/atom.



10.
## Er2Al3Hg (PBE)

Data for an optimized crystal structure of Er2Al3Hg.

Lattice parameters (Å, degrees): 5.7943 5.7943 8.6786 104.24 104.24 105.26
Positions (direct):
Er  0.2501  0.2501  0.0000
Al  0.8358  0.8358  0.6716
Hg  0.6670  0.6670  0.3339
Er  0.7500  0.2500  0.5000
Er  0.2500  0.7500  0.5000
Al  0.1650  0.6704  0.8355
Al  0.3296  0.8350  0.1645
Al  0.1642  0.1642  0.3284
Al  0.6704  0.1650  0.8355
Al  0.8350  0.3296  0.1645
Hg  0.3330  0.3330  0.6661
Er  0.7499  0.7499  0.0000

Computed properties:
Its density of states at the Fermi level is 6.8 states/eV per cell. The energy relative to the elements is -0.448 eV per atom. Its distance to the lowest polymorph of the same formula is 16 meV/atom.



11.
## CeUIr (PBE)

Data for an optimized crystal structure of CeUIr.

Lattice parameters (Å, degrees): 3.6041 3.6041 5.5152 109.07 109.07 90.00
Each line ends with the local moment (μB).
Positions (direct):
Ce  0.9972  0.9972  0.9944  0.51
Ir  0.3227  0.3227  0.6454  -0.15
U  0.6801  0.6801  0.3602  1.66

Computed properties:
Its density of states at the Fermi level is 7.8 states/eV per cell. The energy relative to the elements is -0.295 eV per atom. Its distance to the lowest polymorph of the same formula is 0 meV/atom.



12.
## Zr2MnPb (PBE)

Data for an optimized crystal structure of Zr2MnPb.

Lattice parameters (Å, degrees): 4.3553 4.3549 4.4165 90.00 90.00 90.00
Each line ends with the local moment (μB).
Positions (direct):
Zr  0.0000  0.0000  0.0000  -0.15
Zr  0.5000  0.5000  0.0000  -0.15
Mn  0.5000  0.0000  0.5000  3.40
Pb  0.0000  0.5000  0.5000  -0.03

Computed properties:
Its density of states at the Fermi level is 4.6 states/eV per cell. The energy relative to the elements is 0.005 eV per atom.



Q: Which formula does entry 12 have?
A: Zr2MnPb